Record 1
## KAgH2 (PBE)

Data for a geometry-optimized KAgH2 structure.

The structure in POSCAR format:
```
KAgH2
1.0
-2.8497 2.8497 3.9746
2.8497 -2.8497 3.9746
2.8497 2.8497 -3.9746
K Ag H
2 2 4
direct
0.0000 0.0000 0.0000
0.7500 0.2500 0.5000
0.2500 0.7500 0.5000
0.5000 0.5000 0.0000
0.2565 0.6250 0.1315
0.3750 0.5065 0.6315
0.4935 0.1250 0.8685
0.8750 0.7435 0.3685
```

Calculated values
Relative energy among the computed polymorphs = 0.0 meV/atom
M_tot = 0.000 μB per formula unit
Total energy = -22.0 eV for the cell shown

Record 2
## AlCoCu2 (PBE)

Data for a geometry-optimized AlCoCu2 structure.

The structure in POSCAR format:
```
AlCoCu2
1.0
2.5313 -3.6702 0.0000
2.5313 3.6702 0.0000
0.0000 0.0000 2.6418
Al Co Cu
1 1 2
direct
0.0000 0.0000 0.0000
0.5000 0.5000 0.0000
0.0000 0.5000 0.5000
0.5000 0.0000 0.5000
```

Calculated values
M_tot = 1.514 μB per formula unit
Total energy = -19.3 eV for the cell shown

Record 3
## AcSmPuTl (PBE)

Data for a geometry-optimized AcSmPuTl structure.

The structure in POSCAR format:
```
AcSmPuTl
1.0
0.0000 3.9881 3.9881
3.9881 0.0000 3.9881
3.9881 3.9881 0.0000
Ac Sm Pu Tl
1 1 1 1
direct
0.0000 0.0000 0.0000
0.2500 0.2500 0.2500
0.7500 0.7500 0.7500
0.5000 0.5000 0.5000
```

Calculated values
M_tot = 7.000 μB per formula unit
Total energy = -25.0 eV for the cell shown

Record 4
## Ce5HoBi6 (PBE)

Data for a geometry-optimized Ce5HoBi6 structure.

The structure in POSCAR format:
```
Ce5HoBi6
1.0
3.9675 -6.8718 0.0000
3.9675 6.8718 0.0000
-2.6464 0.0000 7.4675
Ce Ho Bi
5 1 6
direct
0.0000 0.0000 0.0000
0.1659 0.8341 0.5000
0.3313 0.6687 0.0000
0.6687 0.3313 0.0000
0.8341 0.1659 0.5000
0.5000 0.5000 0.5000
0.0890 0.4182 0.2536
0.2545 0.2545 0.7491
0.4182 0.0890 0.2536
0.5818 0.9110 0.7464
0.7455 0.7455 0.2509
0.9110 0.5818 0.7464
```

Calculated values
M_tot = 4.469 μB per formula unit
Total energy = -67.1 eV for the cell shown

Record 5
## BTe2C (PBE)

Data for a geometry-optimized BTe2C structure.

The structure in POSCAR format:
```
BTe2C
1.0
1.9499 1.1258 6.6714
-1.9499 1.1258 6.6714
0.0000 -2.2516 6.6714
B Te C
1 2 1
direct
0.0000 0.0000 0.0000
0.4026 0.4026 0.4026
0.5974 0.5974 0.5974
0.5000 0.5000 0.5000
```

Calculated values
Relative energy among the computed polymorphs = 259.1 meV/atom
M_tot = 0.000 μB per formula unit
Total energy = -15.4 eV for the cell shown
Energy relative to the elements, uncorrected = 1.68 eV per atom

Record 6
## Ba2LiCl (PBE)

Data for a geometry-optimized Ba2LiCl structure.

The structure in POSCAR format:
```
Ba2LiCl
1.0
2.1189 1.2233 10.5586
-2.1189 1.2233 10.5586
0.0000 -2.4467 10.5586
Ba Li Cl
2 1 1
direct
0.0000 0.0000 0.0000
0.2157 0.2157 0.2157
0.4444 0.4444 0.4444
0.7440 0.7440 0.7440
```

Calculated values
Relative energy among the computed polymorphs = 111.1 meV/atom
M_tot = 0.080 μB per formula unit
Total energy = -10.5 eV for the cell shown
Energy relative to the elements, uncorrected = -0.73 eV per atom

Q: Which formula does entry 5 have?
A: BTe2C

Q: Which formula does entry 5 have?
A: BTe2C

Q: The highest total energy belongs to which entry?
A: Ba2LiCl

Q: What is the formula in the second record?
A: AlCoCu2